Ce4SnBr5 after structural relaxation, computed with PBE-GGA.

Computed properties:
Crystal system ... monoclinic

```
data_Ce4SnBr5
_chemical_formula_sum 'Ce8 Sn2 Br10'
_cell_length_a 18.492
_cell_length_b 4.204
_cell_length_c 9.020
_cell_angle_alpha 90.00
_cell_angle_beta 100.76
_cell_angle_gamma 90.00
_symmetry_space_group_name_H-M 'C 1 2/m 1'
_symmetry_Int_Tables_number 12
loop_
_symmetry_equiv_pos_as_xyz
'x,y,z'
'-x,-y,-z'
'-x,y,-z'
'x,-y,z'
'x+1/2,y+1/2,z'
'-x+1/2,-y+1/2,-z'
'-x+1/2,y+1/2,-z'
'x+1/2,-y+1/2,z'
loop_
_atom_site_label
_atom_site_fract_x
_atom_site_fract_y
_atom_site_fract_z
_atom_site_occupancy
Ce1 0.004 0.000 0.250 1
Ce2 0.171 0.500 0.063 1
Sn1 0.000 0.500 0.000 1
Br1 0.000 0.500 0.500 1
Br2 0.164 0.000 0.811 1
Br3 0.170 0.000 0.309 1
```



CeSnBr2 after structural relaxation, computed with PBE-GGA.

Computed properties:
Crystal system ... trigonal

```
data_CeSnBr2
_chemical_formula_sum 'Ce3 Sn3 Br6'
_cell_length_a 3.7089
_cell_length_b 3.7089
_cell_length_c 32.5131
_cell_angle_alpha 90.00
_cell_angle_beta 90.00
_cell_angle_gamma 120.00
_symmetry_space_group_name_H-M 'R -3 m'
_symmetry_Int_Tables_number 166
_symmetry_space_group_name_Hall '-R 3 2"'
loop_
_atom_site_label
_atom_site_fract_x
_atom_site_fract_y
_atom_site_fract_z
_atom_site_occupancy
Ce1 0.0000 0.0000 0.0000 1
Sn1 0.0000 0.0000 0.5000 1
Br1 0.0000 0.0000 0.0863 1
```



Calculated formation energy without anion corrections, -13.2, -2.0 eV/f.u. (same order as the records).